Here is a relaxed structure of PrSm6Y from the Alexandria database. Energies are from PBE-GGA.

Output
DOS(E_F) in states/eV per atom: 1.65
Distance to the lowest polymorph of the same formula in eV per atom: 0.000
Calculated formation energy in meV/atom: 19
Mass density in g/cm3: 6.94
E_tot in eV per cell: -39.41

abc: 5.139 5.139 10.263
angles: 90.00 90.00 90.00
Atoms (fractional coordinates):
Pr 0.000 0.000 0.000
Sm 0.000 0.500 0.252
Sm 0.000 0.500 0.748
Sm 0.500 0.000 0.252
Sm 0.500 0.000 0.748
Sm 0.500 0.500 0.000
Sm 0.500 0.500 0.500
Y 0.000 0.000 0.500